No. 1
# PrSm3Se3O4

PrSm3Se3O4 after structural relaxation (GGA-PBE, the Open Quantum Materials Database).

Lattice parameters (Å, degrees): 8.3934 6.7367 6.7367 34.32 90.00 90.00
Closest atoms and distances in Å follow each position.
Atoms (fractional coordinates):
1 O 0.7528 0.0896 0.0896  3 Sm 2.31-2.32, 1 Pr 2.38
2 O 0.2472 0.0896 0.0896  3 Sm 2.31-2.32, 1 Pr 2.38
3 O 0.0000 0.5911 0.5911  2 Pr 2.31, 2 Sm 2.33
4 Se 0.3498 0.3568 0.3568  1 Se 2.52
5 Pr 0.0000 0.9990 0.9990  4 O 2.31-2.38
6 Sm 0.7614 0.6831 0.6831  4 O 2.32-2.36
7 O 0.5000 0.6159 0.6159  4 Sm 2.35-2.36
8 Sm 0.5000 0.0190 0.0190  4 O 2.31-2.35
9 Se 0.0000 0.3104 0.3104  2 Se 3.00, 2 Pr 3.14, 4 Sm 3.26
10 Sm 0.2386 0.6831 0.6831  4 O 2.32-2.36
11 Se 0.6502 0.3568 0.3568  1 Se 2.52

## Properties
- V (Å³/cell) = 214.8

---

No. 2
# PrSm3Se3O4

PrSm3Se3O4 after structural relaxation (GGA-PBE, the Open Quantum Materials Database).

Lattice parameters (Å, degrees): 8.4188 6.7168 6.7168 34.46 90.00 90.00
Closest atoms and distances in Å follow each position.
Atoms (fractional coordinates):
1 Se 0.0000 0.3156 0.3156  2 Se 2.98, 6 Sm 3.12-3.29
2 O 0.2410 0.0891 0.0891  3 Sm 2.31-2.33, 1 Pr 2.37
3 O 0.0000 0.5893 0.5893  4 Sm 2.28-2.33
4 Se 0.3493 0.3535 0.3535  1 Se 2.54
5 Sm 0.0000 0.0030 0.0030  4 O 2.28-2.31
6 O 0.7590 0.0891 0.0891  3 Sm 2.31-2.33, 1 Pr 2.37
7 Sm 0.7637 0.6832 0.6832  4 O 2.33-2.37
8 Se 0.6507 0.3535 0.3535  1 Se 2.54
9 Pr 0.5000 0.0160 0.0160  4 O 2.37-2.39
10 O 0.5000 0.6191 0.6191  2 Sm 2.37, 2 Pr 2.39
11 Sm 0.2363 0.6832 0.6832  4 O 2.33-2.37

## Properties
- V (Å³/cell) = 214.9

---

Raw total energy for the records above, in order: -0.5324, -0.5324 Ry per atom